First-principles (PBE+U) data for a relaxed FeOsOF2 crystal, as listed in Alexandria.

Computed properties:
**Space group**: No. 123
**Polymorph energy (0 for the lowest one)**: 0 meV/atom

abc: 4.447 4.447 3.722
angles: 90.00 90.00 90.00
Fractional positions:
Fe: 0.000 0.000 0.000
Os: 0.500 0.500 0.500
O: 0.500 0.500 0.000
F: 0.000 0.500 0.500
F: 0.500 0.000 0.500